VASP calculation (PBE-GGA) on a relaxed structure of AgRuPb2S.

a = 5.1775 Å, b = 5.1445 Å, c = 5.1775 Å
α = 90.00°, β = 90.00°, γ = 90.00°
Fractional coordinates of all 5 atoms:
S1 0.5000 0.5000 0.5000
Ru1 0.0000 0.0000 0.0000
Pb1 0.0000 0.0000 0.5000
Ag1 0.0000 0.5000 0.0000
Pb2 0.5000 0.0000 0.0000

Its space group is P4/mmm, No. 123. The formation energy (no corrections) is 594 meV/atom. For the density of states at the Fermi level, the calculation gives 0.93 states/eV/atom. The calculation puts the calculated total energy at -20.7 eV/cell.

---

VASP calculation (PBE-GGA) on a relaxed structure of AgSbRu2Pb.

a = 5.0497 Å, b = 5.0806 Å, c = 5.0497 Å
α = 90.00°, β = 90.00°, γ = 90.00°
Each line ends with the local moment (μB).
Fractional coordinates of all 5 atoms:
Ag1 0.0000 0.5000 0.0000  -0.01
Pb1 0.0000 0.0000 0.0000  -0.04
Ru1 0.0000 0.0000 0.5000  1.23
Ru2 0.5000 0.0000 0.0000  1.09
Sb1 0.5000 0.5000 0.5000  -0.05

Its space group is P4/mmm, No. 123. The formation energy (no corrections) is 1566 meV/atom. For the density of states at the Fermi level, the calculation gives 1.14 states/eV/atom. The calculation puts the calculated total energy at -21.4 eV/cell.

---

VASP calculation (PBE-GGA) on a relaxed structure of TlAgRuPb2.

a = 5.7652 Å, b = 5.7652 Å, c = 5.1552 Å
α = 90.00°, β = 90.00°, γ = 90.00°
Each line ends with the local moment (μB).
Fractional coordinates of all 5 atoms:
Pb1 0.5000 0.0000 0.0000  -0.04
Pb2 0.0000 0.5000 0.0000  -0.04
Tl1 0.0000 0.0000 0.0000  0.02
Ru1 0.5000 0.5000 0.5000  2.35
Ag1 0.0000 0.0000 0.5000  0.02

Its space group is P4/mmm, No. 123. For the density of states at the Fermi level, the calculation gives 1.28 states/eV/atom. The calculation puts the calculated total energy at -14.8 eV/cell.

---

VASP calculation (PBE-GGA) on a relaxed structure of AgPb4S5.

a = 4.1590 Å, b = 4.1590 Å, c = 14.8916 Å
α = 98.03°, β = 98.03°, γ = 90.00°
Fractional coordinates of all 10 atoms:
S1 0.7006 0.7006 0.4011
Ag1 0.0000 0.0000 0.0000
S2 0.2994 0.2994 0.5989
Pb1 0.8026 0.8026 0.6051
Pb2 0.4061 0.4061 0.8122
S3 0.5000 0.5000 0.0000
Pb3 0.1974 0.1974 0.3949
S4 0.0949 0.0949 0.1899
S5 0.9051 0.9051 0.8101
Pb4 0.5939 0.5939 0.1878

Its space group is I4/mmm, No. 139. The energy above the most stable polymorph in this dataset is 0.006 eV/atom. The formation energy (no corrections) is -370 meV/atom. For the density of states at the Fermi level, the calculation gives 0.48 states/eV/atom. The calculation puts the calculated total energy at -42.0 eV/cell.

---

VASP calculation (PBE-GGA) on a relaxed structure of AgPb3S4.

a = 5.8391 Å, b = 5.8395 Å, c = 11.5474 Å
α = 90.00°, β = 90.00°, γ = 90.00°
Fractional coordinates of all 16 atoms:
S1 0.0644 0.7509 0.0000
Ag1 0.5649 0.7526 0.5000
Pb1 0.5643 0.2500 0.2500
S2 0.0644 0.2501 0.7596
S3 0.0641 0.7506 0.5000
Pb2 0.0644 0.2505 0.5000
Pb3 0.5643 0.2500 0.7500
S4 0.5644 0.2491 0.5000
Pb4 0.0643 0.7500 0.7500
S5 0.5644 0.7499 0.7404
S6 0.5644 0.7499 0.2596
Pb5 0.5644 0.7495 0.0000
Pb6 0.0643 0.7500 0.2500
S7 0.0644 0.2501 0.2404
S8 0.5641 0.2494 0.0000
Ag2 0.0649 0.2474 0.0000

Its space group is Pmmn, No. 59. The energy above the most stable polymorph in this dataset is 0.000 eV/atom. The formation energy (no corrections) is -340 meV/atom. For the density of states at the Fermi level, the calculation gives 0.55 states/eV/atom. The calculation puts the calculated total energy at -66.4 eV/cell.

---

VASP calculation (PBE-GGA) on a relaxed structure of Ag4Pb2S5.

a = 4.1506 Å, b = 4.1506 Å, c = 17.7754 Å
α = 83.30°, β = 83.30°, γ = 60.00°
Fractional coordinates of all 11 atoms:
S1 0.6340 0.6340 0.0980
Ag1 0.6884 0.6884 0.9348
Ag2 0.3116 0.3116 0.0652
S2 0.7668 0.7668 0.6996
S3 0.5000 0.5000 0.5000
Pb1 0.1329 0.1329 0.6014
Ag3 0.5870 0.5870 0.2391
S4 0.3660 0.3660 0.9020
Pb2 0.8671 0.8671 0.3986
S5 0.2332 0.2332 0.3004
Ag4 0.4130 0.4130 0.7609

Its space group is R-3m, No. 166. The formation energy (no corrections) is -139 meV/atom. For the density of states at the Fermi level, the calculation gives 0.57 states/eV/atom. The calculation puts the calculated total energy at -41.0 eV/cell.

---

We obtain M_tot values of 0.000, 2.310, 2.534, 0.000, 0.000, 0.000 μB/f.u. for the records listed above, in that order.